DFT (PBE) results for an optimized crystal structure of Ni2MoPd.

The total DFT energy (no corrections) is -6.62 eV per atom. As for the calculated formation energy: 3.995 kcal/mol of atoms.

It has space group F-43m (No. 216), with a = 5.973 Å, b = 5.973 Å, c = 5.973 Å, α = 90.00°, β = 90.00° and γ = 90.00°. The distinct sites, in fractional coordinates, are Ni at (0.000, 0.000, 0.000), Ni at (0.250, 0.250, 0.250), Mo at (0.250, 0.250, 0.750) and Pd at (0.000, 0.000, 0.500).